Entry 1:
{
  "formula": "Zn5FePt6",
  "functional": "GGA-PBE",
  "state": "relaxed",
  "lattice": [[-1.4533, -1.7532, -3.3863], [5.9367, -3.8239, -0.5681], [-4.7431, -1.5913, 5.3183]],
  "species": ["Zn", "Zn", "Zn", "Zn", "Zn", "Fe", "Pt", "Pt", "Pt", "Pt", "Pt", "Pt"],
  "fractional_positions": [[0.6661, 0.1661, 0.3322], [0.3351, 0.3351, 0.6702], [0.0000, 0.5000, 0.0000], [0.6649, 0.6649, 0.3298], [0.3339, 0.8339, 0.6678], [0.0000, 0.0000, 0.0000], [0.8336, 0.5863, 0.6672], [0.8336, 0.0809, 0.6672], [0.5000, 0.7532, 0.0000], [0.5000, 0.2468, 0.0000], [0.1664, 0.9191, 0.3328], [0.1664, 0.4137, 0.3328]],
  "m_tot_mub_per_fu": 3.61,
  "formation_energy_ev_per_atom": -0.50
}


Entry 2:
{
  "formula": "ZnFePt2",
  "functional": "GGA-PBE",
  "state": "relaxed",
  "lattice": [[3.8602, 0.0000, 0.0000], [0.0000, 3.8602, 0.0000], [1.9301, 1.9301, 8.6501]],
  "species": ["Zn", "Zn", "Fe", "Fe", "Pt", "Pt", "Pt", "Pt"],
  "fractional_positions": [[0.0000, 0.0000, 0.0000], [0.7500, 0.2500, 0.5000], [0.5000, 0.5000, 0.0000], [0.2500, 0.7500, 0.5000], [0.6242, 0.1250, 0.2500], [0.1258, 0.6250, 0.2500], [0.3750, 0.3757, 0.7500], [0.8750, 0.8742, 0.7500]],
  "m_tot_mub_per_fu": 3.32,
  "formation_energy_ev_per_atom": 0.06
}


Entry 3:
{
  "formula": "Zn2FePt2",
  "functional": "GGA-PBE",
  "state": "relaxed",
  "lattice": [[-0.9108, 3.2033, -6.5205], [0.6578, -6.5082, -3.2892], [-2.7785, -0.3821, 0.2004]],
  "species": ["Zn", "Zn", "Zn", "Zn", "Fe", "Fe", "Pt", "Pt", "Pt", "Pt"],
  "fractional_positions": [[0.3761, 0.8761, 0.0000], [0.8761, 0.6239, 0.0000], [0.6239, 0.1239, 0.0000], [0.1239, 0.3761, 0.0000], [0.0000, 0.0000, 0.0000], [0.5000, 0.5000, 0.0000], [0.1749, 0.6749, 0.5000], [0.6749, 0.8251, 0.5000], [0.8251, 0.3251, 0.5000], [0.3251, 0.1749, 0.5000]],
  "e_above_lowest_polymorph_ev_per_atom": 0.000,
  "m_tot_mub_per_fu": 3.32,
  "formation_energy_ev_per_atom": -0.21
}


Entry 4:
{
  "formula": "ZnFe2Pt2",
  "functional": "GGA-PBE",
  "state": "relaxed",
  "lattice": [[7.2789, 0.0000, 0.0000], [0.0000, 7.2789, 0.0000], [0.0000, 0.0000, 2.6862]],
  "species": ["Zn", "Zn", "Fe", "Fe", "Fe", "Fe", "Pt", "Pt", "Pt", "Pt"],
  "fractional_positions": [[0.0000, 0.0000, 0.0000], [0.5000, 0.5000, 0.0000], [0.1582, 0.6582, 0.5000], [0.6582, 0.8418, 0.5000], [0.8418, 0.3418, 0.5000], [0.3418, 0.1582, 0.5000], [0.3602, 0.8602, 0.0000], [0.8602, 0.6398, 0.0000], [0.6398, 0.1398, 0.0000], [0.1398, 0.3602, 0.0000]],
  "m_tot_mub_per_fu": 0.00,
  "formation_energy_ev_per_atom": 0.24
}


Entry 5:
{
  "formula": "ZnFePt2",
  "functional": "GGA-PBE",
  "state": "relaxed",
  "lattice": [[-1.5884, -3.3031, 2.3738], [1.7987, -0.9799, 3.8565], [-2.1780, 0.8168, 3.6956]],
  "species": ["Fe", "Pt", "Pt", "Zn"],
  "fractional_positions": [[0.5000, 0.5000, 0.5000], [0.0000, 0.0000, 0.0000], [0.2500, 0.2500, 0.2500], [0.7500, 0.7500, 0.7500]],
  "m_tot_mub_per_fu": 3.23,
  "formation_energy_ev_per_atom": -0.15
}


Entry 6:
{
  "formula": "Zn2FePt",
  "functional": "GGA-PBE",
  "state": "relaxed",
  "lattice": [[-3.8986, 0.2269, -2.5253], [-1.2747, -4.3360, -1.0963], [1.1003, 1.9146, 4.0929]],
  "species": ["Fe", "Pt", "Zn", "Zn"],
  "fractional_positions": [[0.5000, 0.5000, 0.0000], [0.7500, 0.2500, 0.5000], [0.0000, 0.0000, 0.0000], [0.2500, 0.7500, 0.5000]],
  "m_tot_mub_per_fu": 2.93,
  "formation_energy_ev_per_atom": -0.21
}